Entry 1:
First-principles (PBE-GGA) data for crystalline NpP2Pt at its relaxed geometry, as listed in Alexandria.

Results
Volume, A^3/atom: 16.6
Crystal system: tetragonal
E_form, eV per atom: -0.5249
DOS(E_F), states/eV/f.u.: 6.83
Spin magnetization, μB per formula unit: 2.67

Unit cell a=4.361 b=4.361 c=3.484 alpha=90.00 beta=90.00 gamma=90.00
Space group P4/mmm (No. 123)
Unique sites:
Np (0.000, 0.000, 0.000) (multiplicity 1)
P (0.000, 0.500, 0.500) (multiplicity 2)
Pt (0.500, 0.500, 0.000) (multiplicity 1)

Entry 2:
First-principles (PBE-GGA) data for crystalline NpP2Pt4 at its relaxed geometry, as listed in Alexandria.

Results
Volume, A^3/atom: 17.1
Crystal system: monoclinic
E_form, eV per atom: -0.5427
DOS(E_F), states/eV/f.u.: 12.42
Spin magnetization, μB per formula unit: 3.70

Unit cell a=3.948 b=7.209 c=9.014 alpha=90.00 beta=110.99 gamma=90.00
Space group P2_1/c (No. 14)
Unique sites:
Np (0.000, 0.000, 0.000) (multiplicity 2)
P (0.345, 0.228, 0.796) (multiplicity 4)
Pt (0.134, 0.580, 0.199) (multiplicity 4)
Pt (0.495, 0.675, 0.936) (multiplicity 4)

Entry 3:
First-principles (PBE-GGA) data for crystalline NpPPt4 at its relaxed geometry, as listed in Alexandria.

Results
Volume, A^3/atom: 17.2
Crystal system: orthorhombic
E_form, eV per atom: -0.5068
DOS(E_F), states/eV/f.u.: 10.71
Spin magnetization, μB per formula unit: 3.59

Unit cell a=3.970 b=15.245 c=6.821 alpha=90.00 beta=90.00 gamma=90.00
Space group Cmcm (No. 63)
Unique sites:
Np (0.000, 0.106, 0.250) (multiplicity 4)
P (0.000, 0.242, 0.750) (multiplicity 4)
Pt (0.000, 0.079, 0.750) (multiplicity 4)
Pt (0.000, 0.318, 0.043) (multiplicity 8)
Pt (0.000, 0.500, 0.000) (multiplicity 4)

Entry 4:
First-principles (PBE-GGA) data for crystalline NpPPt2 at its relaxed geometry, as listed in Alexandria.

Results
Volume, A^3/atom: 18.5
Crystal system: trigonal
E_form, eV per atom: -0.2707
DOS(E_F), states/eV/f.u.: 9.63
Spin magnetization, μB per formula unit: 3.16

Unit cell a=4.9395 b=4.9395 c=10.5203 alpha=90.00 beta=90.00 gamma=120.00
Space group R-3m (No. 166, hexagonal axes)
Unique sites:
Np (0.0000, 0.0000, 0.0000) (multiplicity 3)
P (0.0000, 0.0000, 0.5000) (multiplicity 3)
Pt (0.0000, 0.0000, 0.2727) (multiplicity 6)

Entry 5:
First-principles (PBE-GGA) data for crystalline Np3P2PtRh9 at its relaxed geometry, as listed in Alexandria.

Results
Volume, A^3/atom: 18.6
Crystal system: trigonal
E_form, eV per atom: -0.2592
DOS(E_F), states/eV/f.u.: 32.66
Spin magnetization, μB per formula unit: 9.05

Unit cell a=5.4976 b=5.4976 c=10.6770 alpha=90.00 beta=90.00 gamma=120.00
Space group P-3m1 (No. 164)
Unique sites:
Np (0.0000, 0.0000, 0.0000) (multiplicity 1)
Np (0.3333, 0.6667, 0.5743) (multiplicity 2)
P (0.3333, 0.6667, 0.1570) (multiplicity 2)
Pt (0.0000, 0.0000, 0.5000) (multiplicity 1)
Rh (0.0000, 0.5000, 0.0000) (multiplicity 3)
Rh (0.1627, 0.3253, 0.3016) (multiplicity 6)

Entry 6:
First-principles (PBE-GGA) data for crystalline NpP2PtRh2 at its relaxed geometry, as listed in Alexandria.

Results
Volume, A^3/atom: 16.1
Crystal system: orthorhombic
E_form, eV per atom: -0.6388
DOS(E_F), states/eV/f.u.: 9.10
Spin magnetization, μB per formula unit: 3.59

Unit cell a=3.706 b=8.469 c=6.158 alpha=90.00 beta=90.00 gamma=90.00
Space group Pmc2_1 (No. 26)
Unique sites:
Np (0.000, 0.061, 0.000) (multiplicity 2)
P (0.000, 0.392, 0.784) (multiplicity 2)
P (0.500, 0.191, 0.294) (multiplicity 2)
Pt (0.500, 0.195, 0.681) (multiplicity 2)
Rh (0.000, 0.351, 0.400) (multiplicity 2)
Rh (0.500, 0.395, 0.037) (multiplicity 2)

Entry 7:
First-principles (PBE-GGA) data for crystalline NpPPtRh at its relaxed geometry, as listed in Alexandria.

Results
Volume, A^3/atom: 17.5
Crystal system: tetragonal
E_form, eV per atom: -0.7179
DOS(E_F), states/eV/f.u.: 8.73
Spin magnetization, μB per formula unit: 3.75

Unit cell a=3.846 b=3.846 c=9.473 alpha=90.00 beta=90.00 gamma=90.00
Space group P4/nmm (No. 129, origin choice 2)
Unique sites:
Np (0.250, 0.250, 0.223) (multiplicity 2)
P (0.250, 0.250, 0.650) (multiplicity 2)
Pt (0.250, 0.250, 0.915) (multiplicity 2)
Rh (0.250, 0.750, 0.500) (multiplicity 2)

Entry 8:
First-principles (PBE-GGA) data for crystalline Np2SiPPt6 at its relaxed geometry, as listed in Alexandria.

Results
Volume, A^3/atom: 19.2
Formation energy without anion corrections, eV/atom: -0.609
Crystal system: orthorhombic
DOS(E_F), states/eV/f.u.: 24.09
Spin magnetization, μB per formula unit: 7.64

Unit cell a=5.498 b=8.145 c=8.568 alpha=90.00 beta=90.00 gamma=90.00
Space group Pmmn (No. 59, origin choice 2)
Unique sites:
Np (0.250, 0.004, 0.233) (multiplicity 4)
Si (0.250, 0.750, 0.767) (multiplicity 2)
P (0.250, 0.250, 0.782) (multiplicity 2)
Pt (0.002, 0.750, 0.998) (multiplicity 4)
Pt (0.003, 0.250, 0.475) (multiplicity 4)
Pt (0.250, 0.014, 0.633) (multiplicity 4)

Entry 9:
First-principles (PBE-GGA) data for crystalline Sr2NpP3Pt12 at its relaxed geometry, as listed in Alexandria.

Results
Volume, A^3/atom: 21.0
Crystal system: trigonal
E_form, eV per atom: -0.3468
DOS(E_F), states/eV/f.u.: 11.77
Spin magnetization, μB per formula unit: 2.72

Unit cell a=8.2615 b=8.2615 c=19.1445 alpha=90.00 beta=90.00 gamma=120.00
Space group R-3m (No. 166, hexagonal axes)
Unique sites:
Sr (0.0000, 0.0000, 0.1014) (multiplicity 6)
Np (0.0000, 0.0000, 0.5000) (multiplicity 3)
P (0.0000, 0.5000, 0.0000) (multiplicity 9)
Pt (0.0133, 0.5067, 0.8782) (multiplicity 18)
Pt (0.0457, 0.5229, 0.3596) (multiplicity 18)

Entry 10:
First-principles (PBE-GGA) data for crystalline NpTe2P2Pt7 at its relaxed geometry, as listed in Alexandria.

Results
Volume, A^3/atom: 19.6
Formation energy without anion corrections, eV/atom: -0.507
Crystal system: tetragonal
DOS(E_F), states/eV/f.u.: 13.77
Spin magnetization, μB per formula unit: 3.39

Unit cell a=4.019 b=4.019 c=29.154 alpha=90.00 beta=90.00 gamma=90.00
Space group I4/mmm (No. 139)
Unique sites:
Np (0.000, 0.000, 0.000) (multiplicity 2)
Te (0.000, 0.000, 0.208) (multiplicity 4)
P (0.000, 0.000, 0.379) (multiplicity 4)
Pt (0.000, 0.000, 0.301) (multiplicity 4)
Pt (0.000, 0.000, 0.500) (multiplicity 2)
Pt (0.000, 0.500, 0.077) (multiplicity 8)

Entry 11:
First-principles (PBE-GGA) data for crystalline NpZn2P2Pt7 at its relaxed geometry, as listed in Alexandria.

Results
Volume, A^3/atom: 18.1
Crystal system: monoclinic
E_form, eV per atom: -0.4312
DOS(E_F), states/eV/f.u.: 11.68
Spin magnetization, μB per formula unit: 3.34

Unit cell a=5.556 b=5.555 c=14.205 alpha=90.00 beta=98.46 gamma=90.00
Space group C2/m (No. 12)
Unique sites:
Np (0.000, 0.000, 0.000) (multiplicity 2)
Zn (0.102, 0.000, 0.418) (multiplicity 4)
P (0.097, 0.500, 0.260) (multiplicity 4)
Pt (0.000, 0.500, 0.000) (multiplicity 2)
Pt (0.108, 0.500, 0.419) (multiplicity 4)
Pt (0.188, 0.250, 0.835) (multiplicity 8)

Entry 12:
First-principles (PBE-GGA) data for crystalline PuNpP at its relaxed geometry, as listed in Alexandria.

Results
Volume, A^3/atom: 18.9
Crystal system: tetragonal
E_form, eV per atom: -0.5358
DOS(E_F), states/eV/f.u.: 9.42
Spin magnetization, μB per formula unit: 1.94

Unit cell a=3.664 b=3.664 c=8.449 alpha=90.00 beta=90.00 gamma=90.00
Space group I4mm (No. 107)
Unique sites:
Pu (0.000, 0.000, 0.000) (multiplicity 2)
Np (0.000, 0.000, 0.293) (multiplicity 2)
P (0.000, 0.000, 0.647) (multiplicity 2)